A relaxed MoHPd2Rh crystal. Source: Alexandria, functional GGA-PBE.

Summary:
- Magnetic moment: 0.05 μB per atom
- Energy: -6.31 eV/atom

Lattice parameters (Å, degrees): 3.8878 3.8878 4.1539 90.00 90.00 90.00
Last column: nearest neighbours and their distance in Å.
Element x y z (fractional)
Rh 0.5000 0.5000 0.5000  4 Mo 2.75, 8 Pd 2.84
Pd 0.5000 0.0000 0.0000  2 H 1.94
Pd 0.0000 0.5000 0.0000  2 H 1.94
H 0.0000 0.0000 0.0000  4 Pd 1.94, 2 Mo 2.08
Mo 0.0000 0.0000 0.5000  2 H 2.08



A relaxed Mo2HPdRu crystal. Source: Alexandria, functional GGA-PBE.

Summary:
- Magnetic moment: 0.00 μB per atom
- Energy: -5.21 eV/atom

Lattice parameters (Å, degrees): 4.7253 4.7700 4.7253 90.00 90.00 90.00
Last column: nearest neighbours and their distance in Å.
Element x y z (fractional)
Pd 0.0000 0.0000 0.0000  4 Mo 2.36, 2 Ru 2.39
Ru 0.0000 0.5000 0.0000  2 Pd 2.39
Mo 0.5000 0.0000 0.0000  2 Pd 2.36
Mo 0.0000 0.0000 0.5000  2 Pd 2.36
H 0.5000 0.5000 0.5000  4 Ru 3.34, 8 Mo 3.36



A relaxed Mo2HPdRu crystal. Source: Alexandria, functional GGA-PBE.

Summary:
- Magnetic moment: 0.00 μB per atom
- Energy: -7.87 eV/atom

Lattice parameters (Å, degrees): 3.9682 3.9682 3.9585 90.00 90.00 90.00
Last column: nearest neighbours and their distance in Å.
Element x y z (fractional)
Mo 0.5000 0.0000 0.0000  2 H 1.98
Mo 0.0000 0.5000 0.0000  2 H 1.98
H 0.0000 0.0000 0.0000  2 Ru 1.98, 4 Mo 1.98
Ru 0.0000 0.0000 0.5000  2 H 1.98
Pd 0.5000 0.5000 0.5000  8 Mo 2.80, 4 Ru 2.81



A relaxed MoHPdRu2 crystal. Source: Alexandria, functional GGA-PBE.

Summary:
- Magnetic moment: 0.00 μB per atom
- Energy: -7.50 eV/atom

Lattice parameters (Å, degrees): 3.9743 3.9743 3.8370 90.00 90.00 90.00
Last column: nearest neighbours and their distance in Å.
Element x y z (fractional)
Ru 0.0000 0.5000 0.0000  2 H 1.99
Ru 0.5000 0.0000 0.0000  2 H 1.99
Pd 0.0000 0.0000 0.5000  2 H 1.92
Mo 0.5000 0.5000 0.5000  8 Ru 2.76, 4 Pd 2.81
H 0.0000 0.0000 0.0000  2 Pd 1.92, 4 Ru 1.99



A relaxed MoHPdRu2 crystal. Source: Alexandria, functional GGA-PBE.

Summary:
- Magnetic moment: 0.00 μB per atom
- Energy: -7.50 eV/atom

Lattice parameters (Å, degrees): 3.9302 3.9302 3.9242 90.00 90.00 90.00
Last column: nearest neighbours and their distance in Å.
Element x y z (fractional)
H 0.0000 0.0000 0.0000  2 Mo 1.96, 4 Ru 1.97
Mo 0.0000 0.0000 0.5000  2 H 1.96
Ru 0.0000 0.5000 0.0000  2 H 1.97
Ru 0.5000 0.0000 0.0000  2 H 1.97
Pd 0.5000 0.5000 0.5000  8 Ru 2.78, 4 Mo 2.78



A relaxed Mo2HPdRu crystal. Source: Alexandria, functional GGA-PBE.

Summary:
- Magnetic moment: 0.00 μB per atom
- Energy: -7.85 eV/atom

Lattice parameters (Å, degrees): 3.9591 3.9591 3.9815 90.00 90.00 90.00
Last column: nearest neighbours and their distance in Å.
Element x y z (fractional)
Ru 0.5000 0.5000 0.5000  4 Pd 2.80, 8 Mo 2.81
Mo 0.0000 0.5000 0.0000  2 H 1.98
Mo 0.5000 0.0000 0.0000  2 H 1.98
Pd 0.0000 0.0000 0.5000  2 H 1.99
H 0.0000 0.0000 0.0000  4 Mo 1.98, 2 Pd 1.99



A relaxed Sc2MoHPd crystal. Source: Alexandria, functional GGA-PBE.

Summary:
- Magnetic moment: 0.00 μB per atom
- Energy: -6.78 eV/atom

Lattice parameters (Å, degrees): 4.5786 4.5786 3.5719 90.00 90.00 90.00
Last column: nearest neighbours and their distance in Å.
Element x y z (fractional)
Sc 0.5000 0.0000 0.0000  2 H 2.29
Sc 0.0000 0.5000 0.0000  2 H 2.29
Mo 0.0000 0.0000 0.5000  2 H 1.79
H 0.0000 0.0000 0.0000  2 Mo 1.79
Pd 0.5000 0.5000 0.5000  8 Sc 2.90, 4 Mo 3.24



A relaxed TaMoHPd2 crystal. Source: Alexandria, functional GGA-PBE.

Summary:
- Magnetic moment: 0.00 μB per atom
- Energy: -7.39 eV/atom

Lattice parameters (Å, degrees): 3.9316 3.9316 4.2490 90.00 90.00 90.00
Last column: nearest neighbours and their distance in Å.
Element x y z (fractional)
H 0.0000 0.0000 0.0000  4 Pd 1.97, 2 Mo 2.12
Mo 0.0000 0.0000 0.5000  2 H 2.12
Ta 0.5000 0.5000 0.5000  4 Mo 2.78, 8 Pd 2.89
Pd 0.5000 0.0000 0.0000  2 H 1.97
Pd 0.0000 0.5000 0.0000  2 H 1.97



A relaxed TaMo2HPd crystal. Source: Alexandria, functional GGA-PBE.

Summary:
- Magnetic moment: 0.00 μB per atom
- Energy: -8.44 eV/atom

Lattice parameters (Å, degrees): 3.9831 3.9831 4.2050 90.00 90.00 90.00
Last column: nearest neighbours and their distance in Å.
Element x y z (fractional)
Ta 0.0000 0.0000 0.5000  2 H 2.10
Mo 0.5000 0.0000 0.0000  2 H 1.99
Mo 0.0000 0.5000 0.0000  2 H 1.99
Pd 0.5000 0.5000 0.5000  4 Ta 2.82, 8 Mo 2.90
H 0.0000 0.0000 0.0000  4 Mo 1.99, 2 Ta 2.10



A relaxed TaMo2HPd crystal. Source: Alexandria, functional GGA-PBE.

Summary:
- Magnetic moment: 0.00 μB per atom
- Energy: -8.43 eV/atom

Lattice parameters (Å, degrees): 3.9871 3.9871 4.1985 90.00 90.00 90.00
Last column: nearest neighbours and their distance in Å.
Element x y z (fractional)
Ta 0.5000 0.5000 0.5000  4 Pd 2.82, 8 Mo 2.90
Pd 0.0000 0.0000 0.5000  2 H 2.10
H 0.0000 0.0000 0.0000  4 Mo 1.99, 2 Pd 2.10
Mo 0.0000 0.5000 0.0000  2 H 1.99
Mo 0.5000 0.0000 0.0000  2 H 1.99



A relaxed TcMo2HPd crystal. Source: Alexandria, functional GGA-PBE.

Summary:
- Magnetic moment: 0.00 μB per atom
- Energy: -8.09 eV/atom

Lattice parameters (Å, degrees): 3.9952 3.9952 3.9451 90.00 90.00 90.00
Last column: nearest neighbours and their distance in Å.
Element x y z (fractional)
Pd 0.5000 0.5000 0.5000  8 Mo 2.81, 4 Tc 2.83
Tc 0.0000 0.0000 0.5000  2 H 1.97
Mo 0.0000 0.5000 0.0000  2 H 2.00
Mo 0.5000 0.0000 0.0000  2 H 2.00
H 0.0000 0.0000 0.0000  2 Tc 1.97, 4 Mo 2.00



A relaxed TcMo2HPd crystal. Source: Alexandria, functional GGA-PBE.

Summary:
- Magnetic moment: 0.00 μB per atom
- Energy: -8.06 eV/atom

Lattice parameters (Å, degrees): 4.0031 4.0031 3.9341 90.00 90.00 90.00
Last column: nearest neighbours and their distance in Å.
Element x y z (fractional)
Tc 0.5000 0.5000 0.5000  8 Mo 2.81, 4 Pd 2.83
H 0.0000 0.0000 0.0000  2 Pd 1.97, 4 Mo 2.00
Mo 0.5000 0.0000 0.0000  2 H 2.00
Mo 0.0000 0.5000 0.0000  2 H 2.00
Pd 0.0000 0.0000 0.5000  2 H 1.97



A relaxed TiMoHPd2 crystal. Source: Alexandria, functional GGA-PBE.

Summary:
- Magnetic moment: 0.00 μB per atom
- Energy: -4.96 eV/atom

Lattice parameters (Å, degrees): 4.6936 4.5457 4.6936 90.00 90.00 90.00
Last column: nearest neighbours and their distance in Å.
Element x y z (fractional)
Mo 0.0000 0.5000 0.0000  2 Ti 2.27
Pd 0.0000 0.0000 0.5000  2 Ti 2.35
Pd 0.5000 0.0000 0.0000  2 Ti 2.35
H 0.5000 0.5000 0.5000  8 Pd 3.27, 4 Mo 3.32
Ti 0.0000 0.0000 0.0000  2 Mo 2.27, 4 Pd 2.35



A relaxed V2MoHPd crystal. Source: Alexandria, functional GGA-PBE.

Summary:
- Magnetic moment: 0.07 μB per atom
- Energy: -5.72 eV/atom

Lattice parameters (Å, degrees): 4.5062 4.9037 4.5062 90.00 90.00 90.00
Last column: nearest neighbours and their distance in Å.
Element x y z (fractional)
Pd 0.0000 0.5000 0.0000  2 Mo 2.45
V 0.0000 0.0000 0.5000  2 Mo 2.25
V 0.5000 0.0000 0.0000  2 Mo 2.25
Mo 0.0000 0.0000 0.0000  4 V 2.25, 2 Pd 2.45
H 0.5000 0.5000 0.5000  4 Pd 3.19, 8 V 3.33



A relaxed V2MoHPd crystal. Source: Alexandria, functional GGA-PBE.

Summary:
- Magnetic moment: 0.06 μB per atom
- Energy: -7.53 eV/atom

Lattice parameters (Å, degrees): 4.1124 4.1124 3.5634 90.00 90.00 90.00
Last column: nearest neighbours and their distance in Å.
Element x y z (fractional)
H 0.0000 0.0000 0.0000  2 Pd 1.78
V 0.0000 0.5000 0.0000  2 H 2.06
V 0.5000 0.0000 0.0000  2 H 2.06
Mo 0.5000 0.5000 0.5000  8 V 2.72, 4 Pd 2.91
Pd 0.0000 0.0000 0.5000  2 H 1.78



A relaxed V2MoHPd crystal. Source: Alexandria, functional GGA-PBE.

Summary:
- Magnetic moment: 0.00 μB per atom
- Energy: -7.56 eV/atom

Lattice parameters (Å, degrees): 3.9894 3.9894 3.7781 90.00 90.00 90.00
Last column: nearest neighbours and their distance in Å.
Element x y z (fractional)
H 0.0000 0.0000 0.0000  2 Mo 1.89, 4 V 1.99
Mo 0.0000 0.0000 0.5000  2 H 1.89
Pd 0.5000 0.5000 0.5000  8 V 2.75, 4 Mo 2.82
V 0.5000 0.0000 0.0000  2 H 1.99
V 0.0000 0.5000 0.0000  2 H 1.99



A relaxed Zr2MoHPd crystal. Source: Alexandria, functional GGA-PBE.

Summary:
- Magnetic moment: 0.00 μB per atom
- Energy: -7.58 eV/atom

Lattice parameters (Å, degrees): 4.6548 4.6548 3.5702 90.00 90.00 90.00
Last column: nearest neighbours and their distance in Å.
Element x y z (fractional)
Pd 0.0000 0.0000 0.5000  2 H 1.79
H 0.0000 0.0000 0.0000  2 Pd 1.79
Zr 0.0000 0.5000 0.0000  2 H 2.33
Zr 0.5000 0.0000 0.0000  2 H 2.33
Mo 0.5000 0.5000 0.5000  8 Zr 2.93



A relaxed Zr2MoHPd crystal. Source: Alexandria, functional GGA-PBE.

Summary:
- Magnetic moment: 0.00 μB per atom
- Energy: -7.63 eV/atom

Lattice parameters (Å, degrees): 4.6745 4.6745 3.5561 90.00 90.00 90.00
Last column: nearest neighbours and their distance in Å.
Element x y z (fractional)
Zr 0.0000 0.5000 0.0000  2 H 2.34
Zr 0.5000 0.0000 0.0000  2 H 2.34
Mo 0.0000 0.0000 0.5000  2 H 1.78
Pd 0.5000 0.5000 0.5000  8 Zr 2.94
H 0.0000 0.0000 0.0000  2 Mo 1.78



A relaxed PmMoH crystal. Source: Alexandria, functional GGA-PBE.

Summary:
- Magnetic moment: 0.00 μB per atom
- Energy: -6.03 eV/atom

Lattice parameters (Å, degrees): 3.2202 3.2186 10.8667 90.00 90.00 120.02
Last column: nearest neighbours and their distance in Å.
Element x y z (fractional)
H 0.2778 0.5555 0.5000  6 Mo 2.17-2.18
H 0.6107 0.2214 0.0000  6 Pm 2.52
Mo 0.6116 0.2231 0.3963  3 H 2.17-2.18, 1 Mo 2.25
Mo 0.6116 0.2231 0.6037  3 H 2.17-2.18, 1 Mo 2.25
Pm 0.2775 0.5550 0.1567  3 H 2.52
Pm 0.2775 0.5550 0.8433  3 H 2.52



A relaxed PmMoH3 crystal. Source: Alexandria, functional GGA-PBE.

Summary:
- Magnetic moment: 0.00 μB per atom
- Energy: -5.40 eV/atom

Lattice parameters (Å, degrees): 3.7532 3.7532 3.7532 90.00 90.00 90.00
Last column: nearest neighbours and their distance in Å.
Element x y z (fractional)
H 0.0000 0.0000 0.5000  2 Mo 1.88
H 0.0000 0.5000 0.0000  2 Mo 1.88
H 0.5000 0.0000 0.0000  2 Mo 1.88
Mo 0.0000 0.0000 0.0000  6 H 1.88
Pm 0.5000 0.5000 0.5000  12 H 2.65